--- one ---
This record from the Alexandria database describes a relaxed SbAsPtI2 crystal. The functional is PBE.

abc: 5.426 5.426 5.246
angles: 90.00 90.00 90.00
Space group P4/mmm (No. 123)
Symmetry-distinct sites (fractional):
Sb  0.000  0.000  0.000 [1 per cell]
As  0.500  0.500  0.000 [1 per cell]
Pt  0.000  0.000  0.500 [1 per cell]
I  0.000  0.500  0.500 [2 per cell]

## Properties
Magnetic moment ... 0.0000 μB/atom

=====

--- two ---
This record from the Alexandria database describes a relaxed SbAsPtI2 crystal. The functional is PBE.

abc: 5.448 5.448 5.556
angles: 90.00 90.00 90.00
Space group P4/mmm (No. 123)
Symmetry-distinct sites (fractional):
Sb  0.000  0.000  0.000 [1 per cell]
As  0.000  0.000  0.500 [1 per cell]
Pt  0.500  0.500  0.000 [1 per cell]
I  0.000  0.500  0.500 [2 per cell]

## Properties
Magnetic moment ... 0.1207 μB/atom

=====

The data favor one; the next most stable structure lies 0.457 eV/atom above it.

=====

--- one ---
This record from the Alexandria database describes a relaxed TeAsPtI2 crystal. The functional is PBE.

abc: 5.398 5.398 5.331
angles: 90.00 90.00 90.00
Space group P4/mmm (No. 123)
Symmetry-distinct sites (fractional):
Te  0.000  0.000  0.000 [1 per cell]
As  0.500  0.500  0.000 [1 per cell]
Pt  0.000  0.000  0.500 [1 per cell]
I  0.000  0.500  0.500 [2 per cell]

## Properties
Magnetic moment ... 0.0000 μB/atom

=====

--- two ---
This record from the Alexandria database describes a relaxed TeAsPtI2 crystal. The functional is PBE.

abc: 5.476 5.476 5.612
angles: 90.00 90.00 90.00
Space group P4/mmm (No. 123)
Symmetry-distinct sites (fractional):
Te  0.000  0.000  0.000 [1 per cell]
As  0.000  0.000  0.500 [1 per cell]
Pt  0.500  0.500  0.000 [1 per cell]
I  0.000  0.500  0.500 [2 per cell]

## Properties
Magnetic moment ... 0.2509 μB/atom

=====

The data favor one; the next most stable structure lies 0.428 eV/atom above it.

=====

--- one ---
This record from the Alexandria database describes a relaxed Rb3AsI crystal. The functional is PBE.

abc: 18.284 4.979 12.058
angles: 90.00 101.60 90.00
Space group C2/m (No. 12)
Symmetry-distinct sites (fractional):
Rb  0.091  0.000  0.242 [4 per cell]
Rb  0.117  0.000  0.574 [4 per cell]
Rb  0.131  0.500  0.875 [4 per cell]
As  0.016  0.500  0.405 [4 per cell]
I  0.230  0.500  0.177 [4 per cell]

## Properties
Magnetic moment ... 0.0001 μB/atom

=====

--- two ---
This record from the Alexandria database describes a relaxed Rb3AsI crystal. The functional is PBE.

abc: 6.616 6.616 6.616
angles: 90.00 90.00 90.00
Space group Pm-3m (No. 221)
Symmetry-distinct sites (fractional):
Rb  0.000  0.000  0.500 [3 per cell]
As  0.000  0.000  0.000 [1 per cell]
I  0.500  0.500  0.500 [1 per cell]

## Properties
Magnetic moment ... 0.2000 μB/atom

=====

The data favor one; the next most stable structure lies 0.140 eV/atom above it.

=====

--- one ---
This record from the Alexandria database describes a relaxed RbAs2I crystal. The functional is PBE.

abc: 7.800 7.800 7.800
angles: 90.00 90.00 90.00
Space group Fm-3m (No. 225)
Symmetry-distinct sites (fractional):
Rb  0.000  0.000  0.000 [4 per cell]
As  0.250  0.250  0.250 [8 per cell]
I  0.000  0.000  0.500 [4 per cell]

## Properties
Magnetic moment ... 0.0000 μB/atom

=====

--- two ---
This record from the Alexandria database describes a relaxed RbAs2I crystal. The functional is PBE.

abc: 9.139 9.139 6.372
angles: 90.00 90.00 90.00
Space group I-42d (No. 122)
Symmetry-distinct sites (fractional):
Rb  0.000  0.000  0.000 [4 per cell]
As  0.210  0.250  0.625 [8 per cell]
I  0.000  0.000  0.500 [4 per cell]

## Properties
Magnetic moment ... 0.0000 μB/atom

=====

The data favor two; the next most stable structure lies 0.230 eV/atom above it.

=====

--- one ---
This record from the Alexandria database describes a relaxed Rb2AsI6 crystal. The functional is PBE.

abc: 7.999 7.999 15.533
angles: 90.00 90.00 90.00
Space group P4_2/mnm (No. 136)
Symmetry-distinct sites (fractional):
Rb  0.000  0.000  0.169 [4 per cell]
As  0.000  0.000  0.500 [2 per cell]
I  0.179  0.179  0.368 [8 per cell]
I  0.247  0.247  0.000 [4 per cell]

## Properties
Magnetic moment ... 0.1049 μB/atom

=====

--- two ---
This record from the Alexandria database describes a relaxed Rb2AsI6 crystal. The functional is PBE.

abc: 11.578 11.578 11.578
angles: 90.00 90.00 90.00
Space group Fm-3m (No. 225)
Symmetry-distinct sites (fractional):
Rb  0.250  0.250  0.250 [8 per cell]
As  0.000  0.000  0.000 [4 per cell]
I  0.000  0.000  0.246 [24 per cell]

## Properties
Magnetic moment ... 0.0000 μB/atom

=====

The data favor two; the next most stable structure lies 0.073 eV/atom above it.

=====

--- one ---
This record from the Alexandria database describes a relaxed RbAsI4 crystal. The functional is PBE.

abc: 10.412 16.196 7.499
angles: 90.00 120.45 90.00
Space group C2/c (No. 15)
Symmetry-distinct sites (fractional):
Rb  0.000  0.114  0.250 [4 per cell]
As  0.000  0.418  0.750 [4 per cell]
I  0.159  0.299  0.693 [8 per cell]
I  0.203  0.446  0.192 [8 per cell]

## Properties
Magnetic moment ... 0.0000 μB/atom

=====

--- two ---
This record from the Alexandria database describes a relaxed RbAsI4 crystal. The functional is PBE.

abc: 11.009 16.517 7.599
angles: 90.00 98.02 90.00
Space group C2/c (No. 15)
Symmetry-distinct sites (fractional):
Rb  0.000  0.241  0.250 [4 per cell]
As  0.000  0.432  0.750 [4 per cell]
I  0.148  0.438  0.098 [8 per cell]
I  0.164  0.314  0.663 [8 per cell]

## Properties
Magnetic moment ... 0.0000 μB/atom

=====

The data favor two; the next most stable structure lies 0.010 eV/atom above it.